A plane-wave DFT calculation with PBE was carried out for Tl2CrP after structural relaxation. Values from VASP.

Geometry as Quantum ESPRESSO input:
```
&SYSTEM
  ibrav = 0, nat = 4, ntyp = 3
/
ATOMIC_SPECIES
Tl 204.38 Tl.upf
Cr 52.00 Cr.upf
P 30.97 P.upf
ATOMIC_POSITIONS crystal
Tl 0.000 0.000 0.000
Tl 0.250 0.250 0.250
Cr 0.750 0.750 0.750
P 0.500 0.500 0.500
CELL_PARAMETERS angstrom
0.000 3.585 3.585
3.585 0.000 3.585
3.585 3.585 0.000
```

Values from the calculation:
- final energy (Ry per atom) = -0.3213
- formation energy (eV/atom) = 0.570

A plane-wave DFT calculation with PBE was carried out for TlCr2P after structural relaxation. Values from VASP.

Geometry as Quantum ESPRESSO input:
```
&SYSTEM
  ibrav = 0, nat = 4, ntyp = 3
/
ATOMIC_SPECIES
Tl 204.38 Tl.upf
Cr 52.00 Cr.upf
P 30.97 P.upf
ATOMIC_POSITIONS crystal
Tl 0.000 0.000 0.000
Cr 0.500 0.500 0.330
Cr 0.500 0.500 0.670
P 0.000 0.000 0.500
CELL_PARAMETERS angstrom
2.964 0.000 0.000
0.000 2.964 0.000
0.000 0.000 6.847
```

Values from the calculation:
- final energy (Ry per atom) = -0.4812
- formation energy (eV/atom) = 0.209

A plane-wave DFT calculation with PBE was carried out for Tl2CrP after structural relaxation. Values from VASP.

Geometry as Quantum ESPRESSO input:
```
&SYSTEM
  ibrav = 0, nat = 4, ntyp = 3
/
ATOMIC_SPECIES
Tl 204.38 Tl.upf
Cr 52.00 Cr.upf
P 30.97 P.upf
ATOMIC_POSITIONS crystal
Tl 0.000 0.000 0.000
Tl 0.304 0.500 0.607
Cr 0.723 0.000 0.446
P 0.591 0.500 0.184
CELL_PARAMETERS angstrom
4.583 0.000 0.000
0.000 3.644 0.000
-2.281 0.000 5.466
```

Values from the calculation:
- final energy (Ry per atom) = -0.3459
- formation energy (eV/atom) = 0.235

A plane-wave DFT calculation with PBE was carried out for TlCr2P after structural relaxation. Values from VASP.

Geometry as Quantum ESPRESSO input:
```
&SYSTEM
  ibrav = 0, nat = 4, ntyp = 3
/
ATOMIC_SPECIES
Tl 204.38 Tl.upf
Cr 52.00 Cr.upf
P 30.97 P.upf
ATOMIC_POSITIONS crystal
Tl 0.000 0.000 0.000
Cr 0.178 0.678 0.500
Cr 0.356 0.356 0.000
P 0.735 0.235 0.500
CELL_PARAMETERS angstrom
-1.509 1.596 6.844
1.509 -1.596 6.844
1.509 1.596 -6.844
```

Values from the calculation:
- final energy (Ry per atom) = -0.4847
- formation energy (eV/atom) = 0.161

A plane-wave DFT calculation with PBE was carried out for TlCr2P after structural relaxation. Values from VASP.

Geometry as Quantum ESPRESSO input:
```
&SYSTEM
  ibrav = 0, nat = 4, ntyp = 3
/
ATOMIC_SPECIES
Tl 204.38 Tl.upf
Cr 52.00 Cr.upf
P 30.97 P.upf
ATOMIC_POSITIONS crystal
Tl 0.000 0.000 0.000
Cr 0.225 0.225 0.675
Cr 0.775 0.775 0.325
P 0.500 0.500 0.500
CELL_PARAMETERS angstrom
2.957 -1.709 0.000
2.957 1.709 0.000
-1.986 0.000 6.791
```

Values from the calculation:
- final energy (Ry per atom) = -0.4869
- formation energy (eV/atom) = 0.132

A plane-wave DFT calculation with PBE was carried out for Tl2CrP after structural relaxation. Values from VASP.

Geometry as Quantum ESPRESSO input:
```
&SYSTEM
  ibrav = 0, nat = 4, ntyp = 3
/
ATOMIC_SPECIES
Tl 204.38 Tl.upf
Cr 52.00 Cr.upf
P 30.97 P.upf
ATOMIC_POSITIONS crystal
Tl 0.166 0.166 0.165
Tl 0.834 0.834 0.835
Cr 0.000 0.000 0.500
P 0.500 0.500 0.000
CELL_PARAMETERS angstrom
8.571 -1.744 0.000
8.571 1.744 0.000
-0.617 0.000 3.203
```

Values from the calculation:
- final energy (Ry per atom) = -0.3560
- formation energy (eV/atom) = 0.098

| no. | E above lowest polymorph (meV per atom) |
| --- | --- |
| 1 | 487 |
| 2 | 78 |
| 3 | 151 |
| 4 | 29 |
| 5 | 0 |
| 6 | 15 |